Record 1
The following is a DFT calculation (PBE) of TcSnPCl2 after structural relaxation.

abc: 4.9154 4.9154 4.6402
angles: 90.00 90.00 90.00
Space group P4/mmm (No. 123)
Symmetry-distinct sites (fractional):
Tc 0.0000 0.0000 0.0000 x1
Sn 0.5000 0.5000 0.5000 x1
P 0.0000 0.0000 0.5000 x1
Cl 0.0000 0.5000 0.0000 x2

Summary:
M_tot   0.83 μB per formula unit
D(E_F)   0.95 states/eV/atom
Raw formation energy   0.60 eV/f.u.
V   112.1 Å³/cell

***

Record 2
The following is a DFT calculation (PBE) of SnTeP2Cl after structural relaxation.

abc: 5.1557 5.1557 4.9239
angles: 90.00 90.00 90.00
Space group P4/mmm (No. 123)
Symmetry-distinct sites (fractional):
Sn 0.0000 0.0000 0.0000 x1
Te 0.5000 0.5000 0.5000 x1
P 0.0000 0.5000 0.0000 x2
Cl 0.0000 0.0000 0.5000 x1

Summary:
M_tot   0.00 μB per formula unit
D(E_F)   0.84 states/eV/atom
Raw formation energy   3.12 eV/f.u.
V   130.9 Å³/cell